[1]
VASP calculation (PBE-GGA) on Tl2C after structural relaxation.

## Properties
Density of states at the Fermi level   2.5 states/eV/cell
Mass density   10.4 g/cm3
DFT total energy   -3.280 eV/atom

Unit cell a=5.894 b=5.894 c=5.894 alpha=37.29 beta=37.29 gamma=37.29
Fractional coordinates of all 3 atoms:
Tl1 0.247 0.247 0.247
Tl2 0.753 0.753 0.753
C1 0.500 0.500 0.500

***

[2]
VASP calculation (PBE-GGA) on Tl4C after structural relaxation.

## Properties
Density of states at the Fermi level   4.5 states/eV/cell
Mass density   9.9 g/cm3
DFT total energy   -2.709 eV/atom

Unit cell a=5.654 b=5.654 c=5.654 alpha=109.47 beta=109.47 gamma=109.47
Fractional coordinates of all 5 atoms:
Tl1 0.000 0.000 0.500
Tl2 0.000 0.500 0.000
Tl3 0.500 0.000 0.000
Tl4 0.500 0.500 0.500
C1 0.000 0.000 0.000

***

[3]
VASP calculation (PBE-GGA) on Tl4C after structural relaxation.

## Properties
Density of states at the Fermi level   2.7 states/eV/cell
Mass density   10.0 g/cm3
DFT total energy   -2.910 eV/atom

Unit cell a=3.686 b=3.686 c=11.712 alpha=90.00 beta=90.00 gamma=120.00
Fractional coordinates of all 5 atoms:
Tl1 0.333 0.667 0.114
Tl2 0.333 0.667 0.386
Tl3 0.667 0.333 0.614
Tl4 0.667 0.333 0.886
C1 0.000 0.000 0.000